{"formula": "Ba2Pu3Se8", "functional": "PBE", "state": "relaxed", "lattice_angstrom": [[-5.691, 5.390, -3.640], [-1.579, -8.496, 0.148], [-6.863, 1.500, 12.953]], "species": ["Ba", "Ba", "Ba", "Ba", "Pu", "Pu", "Pu", "Pu", "Pu", "Pu", "Se", "Se", "Se", "Se", "Se", "Se", "Se", "Se", "Se", "Se", "Se", "Se", "Se", "Se", "Se", "Se"], "fractional_positions": [[0.667, 0.333, 0.024], [0.333, 0.667, 0.524], [0.667, 0.333, 0.433], [0.333, 0.667, 0.933], [0.673, 0.836, 0.247], [0.836, 0.164, 0.747], [0.164, 0.327, 0.247], [0.836, 0.673, 0.747], [0.327, 0.164, 0.747], [0.164, 0.836, 0.247], [0.847, 0.153, 0.148], [0.695, 0.847, 0.648], [0.153, 0.305, 0.648], [0.847, 0.695, 0.148], [0.305, 0.153, 0.148], [0.153, 0.847, 0.648], [0.523, 0.477, 0.853], [0.046, 0.523, 0.353], [0.477, 0.954, 0.353], [0.523, 0.046, 0.853], [0.000, 0.000, 0.347], [0.000, 0.000, 0.847], [0.333, 0.667, 0.149], [0.954, 0.477, 0.853], [0.477, 0.523, 0.353], [0.667, 0.333, 0.649]], "magmom_total_mub_per_cell": 24.00, "crystal_system": "hexagonal", "raw_formation_energy_ev_per_atom": -1.41, "dft_energy_ev_per_atom": -7.1585}

---

{"formula": "Ta2VCuSn", "functional": "PBE", "state": "relaxed", "lattice_angstrom": [[-3.991, 2.232, -0.623], [-1.697, -3.800, -2.742], [-1.703, -1.984, 3.803]], "species": ["V", "Sn", "Cu", "Ta", "Ta"], "fractional_positions": [[0.000, 0.000, 0.000], [0.000, 0.500, 0.000], [0.500, 0.500, 0.500], [0.000, 0.000, 0.500], [0.500, 0.000, 0.000]], "magmom_total_mub_per_cell": 0.00, "crystal_system": "tetragonal", "e_form_ev_per_atom": 1.19, "dft_energy_ev_per_atom": -6.9929}